# 1
A plane-wave DFT calculation with PBE was carried out for crystalline BaPmGe4 at its relaxed geometry.

Unit cell a=4.4887 b=8.2155 c=17.4850 alpha=90.00 beta=90.00 gamma=90.00
Sites, in units of the cell vectors:
Ba1 0.0000 0.6317 0.3438
Ba2 0.0000 0.8683 0.8438
Ba3 0.0000 0.3683 0.6562
Ba4 0.0000 0.1317 0.1562
Pm1 0.0000 0.6318 0.0876
Pm2 0.0000 0.1318 0.4124
Pm3 0.0000 0.3682 0.9124
Pm4 0.0000 0.8682 0.5876
Ge1 0.5000 0.7942 0.1940
Ge2 0.5000 0.0154 0.6909
Ge3 0.5000 0.1188 0.9495
Ge4 0.5000 0.6295 0.9582
Ge5 0.5000 0.9846 0.3091
Ge6 0.5000 0.1295 0.5418
Ge7 0.5000 0.3705 0.0418
Ge8 0.5000 0.2058 0.8060
Ge9 0.5000 0.5154 0.8091
Ge10 0.5000 0.4846 0.1909
Ge11 0.5000 0.3812 0.4495
Ge12 0.5000 0.6188 0.5505
Ge13 0.5000 0.2942 0.3060
Ge14 0.5000 0.8705 0.4582
Ge15 0.5000 0.7058 0.6940
Ge16 0.5000 0.8812 0.0505

## Properties
* formation energy from the elements: -0.52 eV per atom
* crystal system: orthorhombic
* V: 644.8 Å³ per cell

=====

# 2
A plane-wave DFT calculation with PBE was carried out for crystalline Pm3SiGe2 at its relaxed geometry.

Unit cell a=6.0090 b=8.4556 c=7.3871 alpha=106.63 beta=114.00 gamma=90.00
Sites, in units of the cell vectors:
Si1 0.9994 0.7500 0.0000
Si2 0.0006 0.2500 0.0000
Pm1 0.4995 0.7500 0.0000
Pm2 0.5005 0.2500 0.0000
Pm3 0.8355 0.9179 0.6716
Pm4 0.1645 0.0821 0.3284
Pm5 0.8361 0.4179 0.6716
Pm6 0.1639 0.5821 0.3284
Ge1 0.6684 0.0840 0.3361
Ge2 0.3316 0.9160 0.6639
Ge3 0.6676 0.5840 0.3361
Ge4 0.3324 0.4160 0.6639

## Properties
* crystal system: monoclinic
* ΔE_f (raw): -589 meV/atom
* V: 325.6 Å³ per cell